1.
Compound: BaSr2PdPb
Source: OQMD via LeMat-Bulk
Functional: PBE-GGA
Structure: optimized geometry

Cell: 7.0576 7.0576 7.0576 Å, 132.20 132.20 69.92°
Sites, in units of the cell vectors:
Pb: 0.2712 0.2712 0.0000
Ba: 0.7252 0.7252 0.0000
Sr: 0.4564 0.9564 0.5000
Pd: 0.0317 0.0317 0.0000
Sr: 0.9564 0.4564 0.5000

- Symmetry: I4mm, No. 107
- Crystal system: tetragonal
- Electronic total energy: -16.30 eV for the cell shown

=====

2.
Compound: BaSrPd4Pb2
Source: OQMD via LeMat-Bulk
Functional: PBE-GGA
Structure: optimized geometry

Cell: 4.7394 4.7394 10.5605 Å, 90.00 90.00 120.00°
Sites, in units of the cell vectors:
Pd: 0.0000 0.0000 0.2079
Pd: 0.0000 0.0000 0.7921
Pb: 0.6667 0.3333 0.2592
Pd: 0.3333 0.6667 0.6880
Ba: 0.3333 0.6667 0.0000
Pb: 0.6667 0.3333 0.7408
Pd: 0.3333 0.6667 0.3120
Sr: 0.0000 0.0000 0.5000

- Symmetry: P-6m2, No. 187
- Crystal system: hexagonal
- Electronic total energy: -35.85 eV for the cell shown

=====

3.
Compound: Ba2TlPd4Pb
Source: OQMD via LeMat-Bulk
Functional: PBE-GGA
Structure: optimized geometry

Cell: 4.7838 4.7838 10.6227 Å, 90.00 90.00 120.00°
Sites, in units of the cell vectors:
Pd: 0.3333 0.6667 0.4513
Tl: 0.0000 0.0000 0.5000
Ba: 0.3333 0.6667 0.7495
Pd: 0.3333 0.6667 0.0519
Pd: 0.6667 0.3333 0.5487
Ba: 0.6667 0.3333 0.2505
Pd: 0.6667 0.3333 0.9481
Pb: 0.0000 0.0000 0.0000

- Symmetry: P-3m1, No. 164
- Crystal system: trigonal
- Electronic total energy: -34.51 eV for the cell shown

=====

4.
Compound: Ba2Tl3Pd2Pb
Source: OQMD via LeMat-Bulk
Functional: PBE-GGA
Structure: optimized geometry

Cell: 4.6372 6.3108 8.4719 Å, 89.58 90.00 68.50°
Sites, in units of the cell vectors:
Tl: 0.1537 0.6935 0.0533
Tl: 0.8467 0.3057 0.5530
Pd: 0.2774 0.4444 0.7491
Pb: 0.1556 0.6896 0.4456
Tl: 0.8458 0.3074 0.9476
Ba: 0.5598 0.8823 0.7522
Ba: 0.4400 0.1182 0.2476
Pd: 0.7209 0.5589 0.2516

- Symmetry: P1, No. 1
- Crystal system: triclinic
- Electronic total energy: -28.61 eV for the cell shown

=====

5.
Compound: BaTlPdPb
Source: OQMD via LeMat-Bulk
Functional: PBE-GGA
Structure: optimized geometry

Cell: 4.6434 8.4057 6.3870 Å, 90.00 111.29 90.00°
Sites, in units of the cell vectors:
Tl: 0.3475 0.0528 0.6957
Pd: 0.7793 0.2512 0.5594
Tl: 0.6525 0.5528 0.3043
Ba: 0.9421 0.7492 0.8843
Pb: 0.6574 0.9468 0.3144
Pb: 0.3426 0.4468 0.6856
Pd: 0.2207 0.7512 0.4406
Ba: 0.0579 0.2492 0.1157

- Symmetry: Cmc2_1, No. 36
- Crystal system: orthorhombic
- Electronic total energy: -30.18 eV for the cell shown

=====

6.
Compound: BaTlPdPb
Source: OQMD via LeMat-Bulk
Functional: PBE-GGA
Structure: optimized geometry

Cell: 4.6471 6.3736 8.4519 Å, 89.66 90.00 68.64°
Sites, in units of the cell vectors:
Tl: 0.1542 0.6923 0.5527
Pb: 0.8446 0.3104 0.0536
Ba: 0.5587 0.8837 0.2567
Pd: 0.7211 0.5585 0.7530
Ba: 0.4413 0.1163 0.7433
Pd: 0.2789 0.4415 0.2470
Tl: 0.8458 0.3077 0.4473
Pb: 0.1554 0.6896 0.9464

- Symmetry: P-1, No. 2
- Crystal system: triclinic
- Electronic total energy: -30.15 eV for the cell shown